A plane-wave DFT calculation with GGA-PBE was carried out for an optimized crystal structure of CsSc3Ir.

Cell lengths 5.0516, 5.0516, 5.0516 Å; angles 90.00, 90.00, 90.00 degrees
Element x y z (fractional)
Ir1 0.5000 0.5000 0.5000
Sc1 0.0000 0.0000 0.5000
Sc2 0.0000 0.5000 0.0000
Sc3 0.5000 0.0000 0.0000
Cs1 0.0000 0.0000 0.0000

Properties
E above lowest polymorph   1.796 eV/atom
Space group   Pm-3m, No. 221
Magnetization   0.0 μB/cell
ΔE_f   1.78 eV per atom



A plane-wave DFT calculation with GGA-PBE was carried out for an optimized crystal structure of Sr2TcMoN5.

Cell lengths 3.2931, 7.5954, 10.7758 Å; angles 90.00, 90.00, 102.52 degrees
Element x y z (fractional)
N1 0.2874 0.5747 0.6425
N2 0.3396 0.6791 0.0000
N3 0.7126 0.4253 0.1425
N4 0.6786 0.3573 0.8962
N5 0.6604 0.3209 0.5000
N6 0.9505 0.9010 0.5335
N7 0.4989 0.9978 0.7970
N8 0.0495 0.0990 0.0335
N9 0.5011 0.0022 0.2970
N10 0.3214 0.6427 0.3962
Mo1 0.7795 0.5591 0.5242
Mo2 0.2205 0.4409 0.0242
Tc1 0.5518 0.1037 0.9452
Tc2 0.4482 0.8963 0.4452
Sr1 0.8603 0.7206 0.8046
Sr2 0.8860 0.7721 0.1808
Sr3 0.1140 0.2279 0.6808
Sr4 0.1397 0.2794 0.3046

Properties
Space group   Cmc2_1, No. 36
Magnetization   0.0 μB/cell
E_form (uncorrected)   -470 meV/atom



A plane-wave DFT calculation with GGA-PBE was carried out for an optimized crystal structure of TlAgSb2.

Cell lengths 6.3575, 6.3575, 6.3575 Å; angles 139.44, 139.44, 58.71 degrees
Element x y z (fractional)
Ag1 0.7500 0.2500 0.5000
Tl1 0.2500 0.7500 0.5000
Sb1 0.0000 0.0000 0.0000
Sb2 0.5000 0.5000 0.0000

Properties
Space group   I4/mmm, No. 139
Magnetization   0.0 μB/cell
E_form (uncorrected)   197 meV/atom



A plane-wave DFT calculation with GGA-PBE was carried out for an optimized crystal structure of AlZnInTc2.

Cell lengths 5.0024, 4.6863, 5.0024 Å; angles 90.00, 90.00, 90.00 degrees
Last column: magnetic moment on the atom in μB.
Element x y z (fractional)
In1 0.0000 0.0000 0.0000  -0.06
Tc1 0.5000 0.0000 0.0000  1.64
Tc2 0.0000 0.0000 0.5000  1.88
Al1 0.5000 0.5000 0.5000  -0.05
Zn1 0.0000 0.5000 0.0000  -0.02

Properties
Space group   P4/mmm, No. 123
Magnetization   3.6 μB/cell
ΔE_f   1.72 eV per atom



> magnetization of number 2 (Sr2TcMoN5)?

0.0 μB/cell



> What is the magnetization in the second record?

0.0 μB/cell